Entry 1:
Here is TlW2 after structural relaxation from the Alexandria database. Energies are from PBE.

```
TlW2
1.0
1.539 -9.931 0.000
1.539 9.931 0.000
0.000 0.000 4.405
Tl W
2 4
Direct
0.810 0.190 0.750
0.190 0.810 0.250
0.057 0.943 0.750
0.443 0.557 0.750
0.557 0.443 0.250
0.943 0.057 0.250
```

***

Entry 2:
Here is TlW4 after structural relaxation from the Alexandria database. Energies are from PBE.

```
TlW4
1.0
-2.235 -1.746 -3.928
2.509 -4.125 0.406
-3.490 -1.847 2.807
Tl W
1 4
Direct
0.500 0.500 0.500
0.000 0.000 0.000
0.500 0.000 0.500
0.000 0.500 0.500
0.500 0.500 0.000
```

***

Entry 3:
Here is TlW2 after structural relaxation from the Alexandria database. Energies are from PBE.

```
TlW2
1.0
4.682 0.000 0.000
-2.341 4.054 0.000
0.000 0.000 2.857
Tl W
1 2
Direct
0.000 0.000 0.000
0.333 0.667 0.369
0.667 0.333 0.631
```

***

| no. | energy relative to the elements (meV per atom) |
| --- | --- |
| 1 | 614 |
| 2 | 3535 |
| 3 | 902 |